Entry 1:
Here is a relaxed structure of NaHgS from the Alexandria database. Energies are from PBE.

The structure in POSCAR format:
```
NaHgS
1.0
0.000 3.372 3.372
3.372 0.000 3.372
3.372 3.372 0.000
Na Hg S
1 1 1
Direct
0.000 0.000 0.000
0.500 0.500 0.500
0.250 0.250 0.250
```

Calculated values
Energy relative to the lowest polymorph listed for this composition in eV/atom: 0.0991
V in A^3/atom: 25.57
ΔE_f (raw) in meV/atom: -404
Crystal system: cubic



Entry 2:
Here is a relaxed structure of Sb2TeW from the Alexandria database. Energies are from PBE.

The structure in POSCAR format:
```
Sb2TeW
1.0
3.311 -4.094 0.000
3.311 4.094 0.000
-0.923 0.000 3.427
Sb Te W
2 1 1
Direct
0.000 0.500 0.000
0.500 0.000 0.000
0.000 0.000 0.500
0.500 0.500 0.500
```

Calculated values
V in A^3/atom: 23.23
ΔE_f (raw) in meV/atom: 885
Crystal system: monoclinic



Entry 3:
Here is a relaxed structure of NiHgOs2Pb from the Alexandria database. Energies are from PBE.

The structure in POSCAR format:
```
NiHgOs2Pb
1.0
5.045 0.000 0.000
0.000 5.045 0.000
0.000 0.000 5.477
Ni Hg Os Pb
1 1 2 1
Direct
0.000 0.000 0.000
0.500 0.500 0.000
0.000 0.500 0.500
0.500 0.000 0.500
0.500 0.500 0.500
```

Calculated values
E_form in meV/atom: 2771
V in A^3/atom: 27.88
Crystal system: tetragonal



Entry 4:
Here is a relaxed structure of Tl2CrAu from the Alexandria database. Energies are from PBE.

The structure in POSCAR format:
```
Tl2CrAu
1.0
0.000 3.536 3.536
3.536 0.000 3.536
3.536 3.536 0.000
Tl Cr Au
2 1 1
Direct
0.250 0.250 0.250
0.750 0.750 0.750
0.000 0.000 0.000
0.500 0.500 0.500
```

Calculated values
Energy relative to the lowest polymorph listed for this composition in eV/atom: 0.1384
E_form in meV/atom: 386
V in A^3/atom: 22.11
Crystal system: cubic



Entry 5:
Here is a relaxed structure of DyYThCo from the Alexandria database. Energies are from PBE.

The structure in POSCAR format:
```
DyYThCo
1.0
3.228 -1.866 0.000
3.228 1.866 0.000
-0.001 0.000 9.247
Dy Y Th Co
1 1 1 1
Direct
0.000 0.000 0.000
0.334 0.334 0.308
0.334 0.334 0.681
0.000 0.000 0.509
```

Calculated values
E_form in meV/atom: 19
V in A^3/atom: 27.85
Crystal system: monoclinic



Entry 6:
Here is a relaxed structure of Sc2VNiH from the Alexandria database. Energies are from PBE.

The structure in POSCAR format:
```
Sc2VNiH
1.0
4.538 0.000 0.000
0.000 4.538 0.000
0.000 0.000 3.482
Sc V Ni H
2 1 1 1
Direct
0.000 0.500 0.000
0.500 0.000 0.000
0.000 0.000 0.500
0.500 0.500 0.500
0.000 0.000 0.000
```

Calculated values
V in A^3/atom: 14.34
DFT total energy in eV for the cell shown: -31.8
Crystal system: tetragonal



Entry 7:
Here is a relaxed structure of NpTl5Te5 from the Alexandria database. Energies are from PBE.

The structure in POSCAR format:
```
NpTl5Te5
1.0
7.587 -3.275 0.000
7.587 3.275 0.000
-3.466 0.000 8.831
Np Tl Te
1 5 5
Direct
0.000 0.000 0.000
0.000 0.000 0.500
0.306 0.306 0.692
0.336 0.336 0.180
0.664 0.664 0.820
0.694 0.694 0.308
0.147 0.147 0.309
0.151 0.151 0.869
0.500 0.500 0.000
0.849 0.849 0.131
0.853 0.853 0.691
```

Calculated values
V in A^3/atom: 39.90
ΔE_f (raw) in meV/atom: -327
Crystal system: monoclinic



Entry 8:
Here is a relaxed structure of Tm2Zn6Ni3 from the Alexandria database. Energies are from PBE.

The structure in POSCAR format:
```
Tm2Zn6Ni3
1.0
7.377 0.000 0.000
-3.689 6.389 0.000
0.000 0.000 3.857
Tm Zn Ni
2 6 3
Direct
0.333 0.667 0.000
0.667 0.333 0.000
0.000 0.201 0.000
0.000 0.719 0.500
0.201 0.000 0.000
0.281 0.281 0.500
0.719 0.000 0.500
0.799 0.799 0.000
0.000 0.394 0.500
0.394 0.000 0.500
0.606 0.606 0.500
```

Calculated values
E_form in meV/atom: -284
V in A^3/atom: 16.53
Crystal system: hexagonal